(1)
First-principles (GGA-PBE) data for a relaxed structure of NpGe2Ru, as listed in Alexandria.

## Properties
space-group type	No. 123
crystal system	tetragonal
DFT formation energy	-0.172	eV per atom

Structure (CIF):
```
data_NpGe2Ru
_chemical_formula_sum 'Np1 Ge2 Ru1'
_cell_length_a 3.095
_cell_length_b 3.095
_cell_length_c 7.265
_cell_angle_alpha 90.00
_cell_angle_beta 90.00
_cell_angle_gamma 90.00
_space_group_name_H-M_alt 'P 1'
_space_group_IT_number 1
loop_
_space_group_symop_operation_xyz
'x,y,z'
loop_
_atom_site_label
_atom_site_type_symbol
_atom_site_fract_x
_atom_site_fract_y
_atom_site_fract_z
Np1 Np 0.500 0.500 0.500
Ru1 Ru 0.500 0.500 0.000
Ge1 Ge 0.000 0.000 0.795
Ge2 Ge 0.000 0.000 0.205
```



(2)
First-principles (GGA-PBE) data for a relaxed structure of PaHgBr3, as listed in Alexandria.

## Properties
formation energy from raw total energies	-4.54	eV per formula unit
space-group type	No. 221
offset from the most stable computed form	0.126	eV per atom
crystal system	cubic

Structure (CIF):
```
data_PaHgBr3
_chemical_formula_sum 'Pa1 Hg1 Br3'
_cell_length_a 5.793
_cell_length_b 5.793
_cell_length_c 5.793
_cell_angle_alpha 90.00
_cell_angle_beta 90.00
_cell_angle_gamma 90.00
_space_group_name_H-M_alt 'P 1'
_space_group_IT_number 1
loop_
_space_group_symop_operation_xyz
'x,y,z'
loop_
_atom_site_label
_atom_site_type_symbol
_atom_site_fract_x
_atom_site_fract_y
_atom_site_fract_z
Pa1 Pa 0.000 0.000 0.000
Hg1 Hg 0.500 0.500 0.500
Br1 Br 0.000 0.500 0.000
Br2 Br 0.000 0.000 0.500
Br3 Br 0.500 0.000 0.000
```



(3)
First-principles (GGA-PBE) data for a relaxed structure of Sc2Ga5Ru3, as listed in Alexandria.

## Properties
space-group type	No. 15
crystal system	monoclinic
DFT formation energy	-0.479	eV per atom

Structure (CIF):
```
data_Sc2Ga5Ru3
_chemical_formula_sum 'Sc4 Ga10 Ru6'
_cell_length_a 5.688
_cell_length_b 7.710
_cell_length_c 7.710
_cell_angle_alpha 95.35
_cell_angle_beta 99.05
_cell_angle_gamma 99.05
_space_group_name_H-M_alt 'P 1'
_space_group_IT_number 1
loop_
_space_group_symop_operation_xyz
'x,y,z'
loop_
_atom_site_label
_atom_site_type_symbol
_atom_site_fract_x
_atom_site_fract_y
_atom_site_fract_z
Sc1 Sc 0.897 0.597 0.175
Sc2 Sc 0.397 0.175 0.597
Sc3 Sc 0.103 0.403 0.825
Sc4 Sc 0.603 0.825 0.403
Ga1 Ga 0.608 0.275 0.955
Ga2 Ga 0.108 0.955 0.276
Ga3 Ga 0.392 0.725 0.045
Ga4 Ga 0.892 0.045 0.724
Ga5 Ga 0.956 0.746 0.849
Ga6 Ga 0.044 0.254 0.151
Ga7 Ga 0.750 0.493 0.507
Ga8 Ga 0.250 0.507 0.493
Ga9 Ga 0.544 0.151 0.254
Ga10 Ga 0.456 0.849 0.746
Ru1 Ru 0.567 0.539 0.803
Ru2 Ru 0.067 0.803 0.539
Ru3 Ru 0.433 0.461 0.197
Ru4 Ru 0.933 0.197 0.461
Ru5 Ru 0.250 0.031 0.969
Ru6 Ru 0.750 0.969 0.031
```



(4)
First-principles (GGA-PBE) data for a relaxed structure of LaSc2Ag3, as listed in Alexandria.

## Properties
space-group type	No. 123
crystal system	tetragonal
DFT formation energy	-0.262	eV per atom

Structure (CIF):
```
data_LaSc2Ag3
_chemical_formula_sum 'La1 Sc2 Ag3'
_cell_length_a 3.502
_cell_length_b 3.502
_cell_length_c 10.994
_cell_angle_alpha 90.00
_cell_angle_beta 90.00
_cell_angle_gamma 90.00
_space_group_name_H-M_alt 'P 1'
_space_group_IT_number 1
loop_
_space_group_symop_operation_xyz
'x,y,z'
loop_
_atom_site_label
_atom_site_type_symbol
_atom_site_fract_x
_atom_site_fract_y
_atom_site_fract_z
La1 La 0.500 0.500 0.500
Sc1 Sc 0.500 0.500 0.846
Sc2 Sc 0.500 0.500 0.154
Ag1 Ag 0.000 0.000 0.000
Ag2 Ag 0.000 0.000 0.704
Ag3 Ag 0.000 0.000 0.296
```



(5)
First-principles (GGA-PBE) data for a relaxed structure of Ce2I3N, as listed in Alexandria.

## Properties
formation energy from raw total energies	-8.61	eV per formula unit
space-group type	No. 12
crystal system	monoclinic

Structure (CIF):
```
data_Ce2I3N
_chemical_formula_sum 'Ce4 I6 N2'
_cell_length_a 4.130
_cell_length_b 10.374
_cell_length_c 10.862
_cell_angle_alpha 72.71
_cell_angle_beta 79.04
_cell_angle_gamma 78.52
_space_group_name_H-M_alt 'P 1'
_space_group_IT_number 1
loop_
_space_group_symop_operation_xyz
'x,y,z'
loop_
_atom_site_label
_atom_site_type_symbol
_atom_site_fract_x
_atom_site_fract_y
_atom_site_fract_z
Ce1 Ce 0.872 0.486 0.770
Ce2 Ce 0.128 0.514 0.230
Ce3 Ce 0.568 0.325 0.538
Ce4 Ce 0.432 0.675 0.462
I1 I 0.036 0.168 0.761
I2 I 0.964 0.832 0.239
I3 I 0.668 0.670 0.993
I4 I 0.332 0.330 0.007
I5 I 0.783 0.812 0.623
I6 I 0.217 0.188 0.377
N1 N 0.431 0.494 0.644
N2 N 0.569 0.506 0.356
```



(6)
First-principles (GGA-PBE) data for a relaxed structure of YPu2ZrS4, as listed in Alexandria.

## Properties
formation energy from raw total energies	-14.12	eV per formula unit
space-group type	No. 10
crystal system	monoclinic

Structure (CIF):
```
data_YPu2ZrS4
_chemical_formula_sum 'Y1 Pu2 Zr1 S4'
_cell_length_a 3.860
_cell_length_b 6.693
_cell_length_c 6.725
_cell_angle_alpha 109.30
_cell_angle_beta 90.00
_cell_angle_gamma 90.00
_space_group_name_H-M_alt 'P 1'
_space_group_IT_number 1
loop_
_space_group_symop_operation_xyz
'x,y,z'
loop_
_atom_site_label
_atom_site_type_symbol
_atom_site_fract_x
_atom_site_fract_y
_atom_site_fract_z
Y1 Y 0.000 0.000 0.000
Pu1 Pu 0.500 0.000 0.500
Pu2 Pu 0.000 0.500 0.500
Zr1 Zr 0.500 0.500 0.000
S1 S 0.500 0.254 0.244
S2 S 0.500 0.746 0.756
S3 S 0.000 0.259 0.759
S4 S 0.000 0.741 0.241
```



(7)
First-principles (GGA-PBE) data for a relaxed structure of Tl2VPbS4, as listed in Alexandria.

## Properties
formation energy from raw total energies	-4.21	eV per formula unit
space-group type	No. 31
crystal system	orthorhombic

Structure (CIF):
```
data_Tl2VPbS4
_chemical_formula_sum 'Tl4 V2 Pb2 S8'
_cell_length_a 6.153
_cell_length_b 9.292
_cell_length_c 8.423
_cell_angle_alpha 90.00
_cell_angle_beta 90.00
_cell_angle_gamma 90.00
_space_group_name_H-M_alt 'P 1'
_space_group_IT_number 1
loop_
_space_group_symop_operation_xyz
'x,y,z'
loop_
_atom_site_label
_atom_site_type_symbol
_atom_site_fract_x
_atom_site_fract_y
_atom_site_fract_z
Tl1 Tl 0.420 0.355 0.295
Tl2 Tl 0.420 0.355 0.705
Tl3 Tl 0.920 0.645 0.795
Tl4 Tl 0.920 0.645 0.205
V1 V 0.524 0.815 0.500
V2 V 0.024 0.185 0.000
Pb1 Pb 0.927 0.101 0.500
Pb2 Pb 0.427 0.899 0.000
S1 S 0.384 0.206 0.000
S2 S 0.884 0.794 0.500
S3 S 0.473 0.052 0.500
S4 S 0.973 0.948 0.000
S5 S 0.427 0.707 0.726
S6 S 0.927 0.293 0.226
S7 S 0.927 0.293 0.774
S8 S 0.427 0.707 0.274
```



(8)
First-principles (GGA-PBE) data for a relaxed structure of Tb5PmMg4, as listed in Alexandria.

## Properties
space-group type	No. 123
crystal system	tetragonal
DFT formation energy	-0.056	eV per atom

Structure (CIF):
```
data_Tb5PmMg4
_chemical_formula_sum 'Tb5 Pm1 Mg4'
_cell_length_a 3.746
_cell_length_b 3.746
_cell_length_c 20.409
_cell_angle_alpha 90.00
_cell_angle_beta 90.00
_cell_angle_gamma 90.00
_space_group_name_H-M_alt 'P 1'
_space_group_IT_number 1
loop_
_space_group_symop_operation_xyz
'x,y,z'
loop_
_atom_site_label
_atom_site_type_symbol
_atom_site_fract_x
_atom_site_fract_y
_atom_site_fract_z
Tb1 Tb 0.500 0.500 0.121
Tb2 Tb 0.500 0.500 0.311
Tb3 Tb 0.500 0.500 0.500
Tb4 Tb 0.500 0.500 0.689
Tb5 Tb 0.500 0.500 0.879
Pm1 Pm 0.000 0.000 0.000
Mg1 Mg 0.000 0.000 0.216
Mg2 Mg 0.000 0.000 0.405
Mg3 Mg 0.000 0.000 0.595
Mg4 Mg 0.000 0.000 0.784
```